Arrangement w

Material: LiMgCdSn
Method: DFT, PBE
State: relaxed Values from VASP.

Geometry as Quantum ESPRESSO input:
```
&SYSTEM
  ibrav = 0, nat = 4, ntyp = 4
/
ATOMIC_SPECIES
Li 6.94 Li.upf
Mg 24.30 Mg.upf
Cd 112.41 Cd.upf
Sn 118.71 Sn.upf
ATOMIC_POSITIONS crystal
Li 0.000 0.000 0.000
Mg 0.500 0.500 0.500
Cd 0.750 0.750 0.750
Sn 0.250 0.250 0.250
CELL_PARAMETERS angstrom
0.000 3.486 3.486
3.486 0.000 3.486
3.486 3.486 0.000
```

=====

Arrangement x

Material: LiMgCdSn
Method: DFT, PBE
State: relaxed Values from VASP.

Geometry as Quantum ESPRESSO input:
```
&SYSTEM
  ibrav = 0, nat = 4, ntyp = 4
/
ATOMIC_SPECIES
Li 6.94 Li.upf
Mg 24.30 Mg.upf
Cd 112.41 Cd.upf
Sn 118.71 Sn.upf
ATOMIC_POSITIONS crystal
Li 0.000 0.000 0.000
Mg 0.000 0.500 0.500
Cd 0.500 0.500 0.000
Sn 0.500 0.000 0.500
CELL_PARAMETERS angstrom
4.299 0.000 0.000
0.000 4.427 0.000
0.000 0.000 4.450
```

=====

Most favorable structure: arrangement x. The second most favorable one is 0.015 eV/atom above it.

=====

Arrangement w

Material: SrLi2MgCd
Method: DFT, PBE
State: relaxed Values from VASP.

Geometry as Quantum ESPRESSO input:
```
&SYSTEM
  ibrav = 0, nat = 5, ntyp = 4
/
ATOMIC_SPECIES
Sr 87.62 Sr.upf
Li 6.94 Li.upf
Mg 24.30 Mg.upf
Cd 112.41 Cd.upf
ATOMIC_POSITIONS crystal
Sr 0.000 0.000 0.000
Li 0.000 0.500 0.500
Li 0.500 0.000 0.500
Mg 0.500 0.500 0.000
Cd 0.500 0.500 0.500
CELL_PARAMETERS angstrom
5.261 0.000 0.000
0.000 5.261 0.000
0.000 0.000 5.319
```

=====

Arrangement x

Material: SrLi2MgCd
Method: DFT, PBE
State: relaxed Values from VASP.

Geometry as Quantum ESPRESSO input:
```
&SYSTEM
  ibrav = 0, nat = 5, ntyp = 4
/
ATOMIC_SPECIES
Sr 87.62 Sr.upf
Li 6.94 Li.upf
Mg 24.30 Mg.upf
Cd 112.41 Cd.upf
ATOMIC_POSITIONS crystal
Sr 0.000 0.000 0.000
Li 0.615 0.615 0.000
Li 0.768 0.268 0.500
Mg 0.248 0.748 0.500
Cd 0.400 0.400 0.000
CELL_PARAMETERS angstrom
-2.168 2.438 6.491
2.168 -2.438 6.491
2.168 2.438 -6.491
```

=====

Most favorable structure: arrangement x. The second most favorable one is 0.110 eV/atom above it.

=====

Arrangement w

Material: LiMgTlCd2
Method: DFT, PBE
State: relaxed Values from VASP.

Geometry as Quantum ESPRESSO input:
```
&SYSTEM
  ibrav = 0, nat = 10, ntyp = 4
/
ATOMIC_SPECIES
Li 6.94 Li.upf
Mg 24.30 Mg.upf
Tl 204.38 Tl.upf
Cd 112.41 Cd.upf
ATOMIC_POSITIONS crystal
Li 0.150 0.850 0.750
Li 0.850 0.150 0.250
Mg 0.345 0.655 0.750
Mg 0.655 0.345 0.250
Tl 0.251 0.749 0.250
Tl 0.749 0.251 0.750
Cd 0.248 0.248 0.000
Cd 0.248 0.248 0.500
Cd 0.752 0.752 0.000
Cd 0.752 0.752 0.500
CELL_PARAMETERS angstrom
2.872 -7.448 0.000
2.872 7.448 0.000
0.000 0.000 5.734
```

=====

Arrangement x

Material: LiMgTlCd2
Method: DFT, PBE
State: relaxed Values from VASP.

Geometry as Quantum ESPRESSO input:
```
&SYSTEM
  ibrav = 0, nat = 5, ntyp = 4
/
ATOMIC_SPECIES
Li 6.94 Li.upf
Mg 24.30 Mg.upf
Tl 204.38 Tl.upf
Cd 112.41 Cd.upf
ATOMIC_POSITIONS crystal
Li 0.000 0.000 0.000
Mg 0.000 0.000 0.500
Tl 0.500 0.500 0.000
Cd 0.000 0.500 0.500
Cd 0.500 0.000 0.500
CELL_PARAMETERS angstrom
5.320 0.000 0.000
0.000 5.320 0.000
0.000 0.000 5.338
```

=====

Most favorable structure: arrangement w. The second most favorable one is 0.290 eV/atom above it.

=====

Arrangement w

Material: Li2MnCd2
Method: DFT, PBE
State: relaxed Values from VASP.

Geometry as Quantum ESPRESSO input:
```
&SYSTEM
  ibrav = 0, nat = 10, ntyp = 3
/
ATOMIC_SPECIES
Li 6.94 Li.upf
Mn 54.94 Mn.upf
Cd 112.41 Cd.upf
ATOMIC_POSITIONS crystal
Li 0.154 0.346 0.000
Li 0.346 0.846 0.000
Li 0.654 0.154 0.000
Li 0.846 0.654 0.000
Mn 0.000 0.000 0.500
Mn 0.500 0.500 0.500
Cd 0.147 0.647 0.500
Cd 0.353 0.147 0.500
Cd 0.647 0.853 0.500
Cd 0.853 0.353 0.500
CELL_PARAMETERS angstrom
7.603 0.000 0.000
0.000 7.603 0.000
0.000 0.000 2.827
```

=====

Arrangement x

Material: Li2MnCd2
Method: DFT, PBE
State: relaxed Values from VASP.

Geometry as Quantum ESPRESSO input:
```
&SYSTEM
  ibrav = 0, nat = 10, ntyp = 3
/
ATOMIC_SPECIES
Li 6.94 Li.upf
Mn 54.94 Mn.upf
Cd 112.41 Cd.upf
ATOMIC_POSITIONS crystal
Li 0.124 0.376 0.000
Li 0.376 0.876 0.000
Li 0.624 0.124 0.000
Li 0.876 0.624 0.000
Mn 0.000 0.000 0.000
Mn 0.500 0.500 0.000
Cd 0.178 0.678 0.500
Cd 0.322 0.178 0.500
Cd 0.678 0.822 0.500
Cd 0.822 0.322 0.500
CELL_PARAMETERS angstrom
7.358 0.000 0.000
0.000 7.358 0.000
0.000 0.000 2.897
```

=====

Most favorable structure: arrangement x. The second most favorable one is 0.049 eV/atom above it.

=====

Arrangement w

Material: LiCd2Mo
Method: DFT, PBE
State: relaxed Values from VASP.

Geometry as Quantum ESPRESSO input:
```
&SYSTEM
  ibrav = 0, nat = 4, ntyp = 3
/
ATOMIC_SPECIES
Li 6.94 Li.upf
Cd 112.41 Cd.upf
Mo 95.94 Mo.upf
ATOMIC_POSITIONS crystal
Li 0.000 0.000 0.000
Cd 0.000 0.500 0.500
Cd 0.500 0.000 0.500
Mo 0.500 0.500 0.000
CELL_PARAMETERS angstrom
3.097 -4.198 0.000
3.097 4.198 0.000
0.000 0.000 2.776
```

=====

Arrangement x

Material: LiCd2Mo
Method: DFT, PBE
State: relaxed Values from VASP.

Geometry as Quantum ESPRESSO input:
```
&SYSTEM
  ibrav = 0, nat = 4, ntyp = 3
/
ATOMIC_SPECIES
Li 6.94 Li.upf
Cd 112.41 Cd.upf
Mo 95.94 Mo.upf
ATOMIC_POSITIONS crystal
Li 0.000 0.000 0.000
Cd 0.500 0.500 0.251
Cd 0.500 0.500 0.749
Mo 0.000 0.000 0.500
CELL_PARAMETERS angstrom
2.786 0.000 0.000
0.000 4.286 0.000
0.000 0.000 6.098
```

=====

Arrangement y

Material: LiCd2Mo
Method: DFT, PBE
State: relaxed Values from VASP.

Geometry as Quantum ESPRESSO input:
```
&SYSTEM
  ibrav = 0, nat = 4, ntyp = 3
/
ATOMIC_SPECIES
Li 6.94 Li.upf
Cd 112.41 Cd.upf
Mo 95.94 Mo.upf
ATOMIC_POSITIONS crystal
Li 0.000 0.000 0.000
Cd 0.500 0.500 0.246
Cd 0.500 0.500 0.754
Mo 0.000 0.000 0.500
CELL_PARAMETERS angstrom
2.818 0.000 0.000
0.000 2.818 0.000
0.000 0.000 8.992
```

=====

Arrangement z

Material: LiCd2Mo
Method: DFT, PBE
State: relaxed Values from VASP.

Geometry as Quantum ESPRESSO input:
```
&SYSTEM
  ibrav = 0, nat = 4, ntyp = 3
/
ATOMIC_SPECIES
Li 6.94 Li.upf
Cd 112.41 Cd.upf
Mo 95.94 Mo.upf
ATOMIC_POSITIONS crystal
Li 0.000 0.000 0.000
Cd 0.000 0.000 0.462
Cd 0.500 0.500 0.772
Mo 0.500 0.500 0.261
CELL_PARAMETERS angstrom
2.718 0.000 0.000
0.000 4.686 0.000
0.000 0.000 5.802
```

=====

Most favorable structure: arrangement y. The second most favorable one is 0.054 eV/atom above it.

=====

Arrangement w

Material: LiCd2Mo
Method: DFT, PBE
State: relaxed Values from VASP.

Geometry as Quantum ESPRESSO input:
```
&SYSTEM
  ibrav = 0, nat = 4, ntyp = 3
/
ATOMIC_SPECIES
Li 6.94 Li.upf
Cd 112.41 Cd.upf
Mo 95.94 Mo.upf
ATOMIC_POSITIONS crystal
Li 0.000 0.000 0.000
Cd 0.230 0.730 0.500
Cd 0.770 0.270 0.500
Mo 0.500 0.500 0.000
CELL_PARAMETERS angstrom
-1.427 2.495 4.899
1.427 -2.495 4.899
1.427 2.495 -4.899
```

=====

Arrangement x

Material: LiCd2Mo
Method: DFT, PBE
State: relaxed Values from VASP.

Geometry as Quantum ESPRESSO input:
```
&SYSTEM
  ibrav = 0, nat = 4, ntyp = 3
/
ATOMIC_SPECIES
Li 6.94 Li.upf
Cd 112.41 Cd.upf
Mo 95.94 Mo.upf
ATOMIC_POSITIONS crystal
Li 0.000 0.000 0.000
Cd 0.000 0.000 0.478
Cd 0.500 0.500 0.762
Mo 0.500 0.500 0.236
CELL_PARAMETERS angstrom
2.800 0.000 0.000
0.000 2.800 0.000
0.000 0.000 9.297
```

=====

Most favorable structure: arrangement x. The second most favorable one is 0.190 eV/atom above it.

=====

Arrangement w

Material: LiCd2Mo
Method: DFT, PBE
State: relaxed Values from VASP.

Geometry as Quantum ESPRESSO input:
```
&SYSTEM
  ibrav = 0, nat = 4, ntyp = 3
/
ATOMIC_SPECIES
Li 6.94 Li.upf
Cd 112.41 Cd.upf
Mo 95.94 Mo.upf
ATOMIC_POSITIONS crystal
Li 0.000 0.000 0.000
Cd 0.248 0.248 0.934
Cd 0.499 0.499 0.489
Mo 0.755 0.755 0.438
CELL_PARAMETERS angstrom
5.473 -1.372 0.000
5.473 1.372 0.000
-2.022 0.000 4.865
```

=====

Arrangement x

Material: LiCd2Mo
Method: DFT, PBE
State: relaxed Values from VASP.

Geometry as Quantum ESPRESSO input:
```
&SYSTEM
  ibrav = 0, nat = 4, ntyp = 3
/
ATOMIC_SPECIES
Li 6.94 Li.upf
Cd 112.41 Cd.upf
Mo 95.94 Mo.upf
ATOMIC_POSITIONS crystal
Li 0.000 0.000 0.000
Cd 0.252 0.252 0.252
Cd 0.492 0.492 0.492
Mo 0.744 0.744 0.744
CELL_PARAMETERS angstrom
1.443 0.833 10.204
-1.443 0.833 10.204
0.000 -1.667 10.204
```

=====

Arrangement y

Material: LiCd2Mo
Method: DFT, PBE
State: relaxed Values from VASP.

Geometry as Quantum ESPRESSO input:
```
&SYSTEM
  ibrav = 0, nat = 4, ntyp = 3
/
ATOMIC_SPECIES
Li 6.94 Li.upf
Cd 112.41 Cd.upf
Mo 95.94 Mo.upf
ATOMIC_POSITIONS crystal
Li 0.000 0.000 0.000
Cd 0.000 0.500 0.500
Cd 0.500 0.000 0.500
Mo 0.500 0.500 0.000
CELL_PARAMETERS angstrom
5.051 0.000 0.000
0.000 5.051 0.000
0.000 0.000 2.854
```

=====

Arrangement z

Material: LiCd2Mo
Method: DFT, PBE
State: relaxed Values from VASP.

Geometry as Quantum ESPRESSO input:
```
&SYSTEM
  ibrav = 0, nat = 8, ntyp = 3
/
ATOMIC_SPECIES
Li 6.94 Li.upf
Cd 112.41 Cd.upf
Mo 95.94 Mo.upf
ATOMIC_POSITIONS crystal
Li 0.000 0.000 0.000
Li 0.750 0.250 0.500
Cd 0.120 0.625 0.995
Cd 0.375 0.370 0.495
Cd 0.630 0.125 0.005
Cd 0.875 0.880 0.505
Mo 0.250 0.750 0.500
Mo 0.500 0.500 0.000
CELL_PARAMETERS angstrom
-2.020 2.020 9.847
2.020 -2.020 9.847
2.020 2.020 -9.847
```

=====

Most favorable structure: arrangement y. The second most favorable one is 0.044 eV/atom above it.

=====

Arrangement w

Material: LiCd2Mo
Method: DFT, PBE
State: relaxed Values from VASP.

Geometry as Quantum ESPRESSO input:
```
&SYSTEM
  ibrav = 0, nat = 4, ntyp = 3
/
ATOMIC_SPECIES
Li 6.94 Li.upf
Cd 112.41 Cd.upf
Mo 95.94 Mo.upf
ATOMIC_POSITIONS crystal
Li 0.000 0.000 0.000
Cd 0.000 0.000 0.479
Cd 0.500 0.500 0.762
Mo 0.500 0.500 0.234
CELL_PARAMETERS angstrom
1.762 -2.159 0.000
1.762 2.159 0.000
0.000 0.000 9.561
```

=====

Arrangement x

Material: LiCd2Mo
Method: DFT, PBE
State: relaxed Values from VASP.

Geometry as Quantum ESPRESSO input:
```
&SYSTEM
  ibrav = 0, nat = 4, ntyp = 3
/
ATOMIC_SPECIES
Li 6.94 Li.upf
Cd 112.41 Cd.upf
Mo 95.94 Mo.upf
ATOMIC_POSITIONS crystal
Li 0.000 0.000 0.000
Cd 0.250 0.250 0.250
Cd 0.500 0.500 0.500
Mo 0.750 0.750 0.750
CELL_PARAMETERS angstrom
0.000 3.325 3.325
3.325 0.000 3.325
3.325 3.325 0.000
```

=====

Arrangement y

Material: LiCd2Mo
Method: DFT, PBE
State: relaxed Values from VASP.

Geometry as Quantum ESPRESSO input:
```
&SYSTEM
  ibrav = 0, nat = 4, ntyp = 3
/
ATOMIC_SPECIES
Li 6.94 Li.upf
Cd 112.41 Cd.upf
Mo 95.94 Mo.upf
ATOMIC_POSITIONS crystal
Li 0.000 0.000 0.000
Cd 0.251 0.251 0.251
Cd 0.749 0.749 0.749
Mo 0.500 0.500 0.500
CELL_PARAMETERS angstrom
1.457 0.841 9.870
-1.457 0.841 9.870
0.000 -1.683 9.870
```

=====

Arrangement z

Material: LiCd2Mo
Method: DFT, PBE
State: relaxed Values from VASP.

Geometry as Quantum ESPRESSO input:
```
&SYSTEM
  ibrav = 0, nat = 4, ntyp = 3
/
ATOMIC_SPECIES
Li 6.94 Li.upf
Cd 112.41 Cd.upf
Mo 95.94 Mo.upf
ATOMIC_POSITIONS crystal
Li 0.000 0.000 0.000
Cd 0.250 0.250 0.250
Cd 0.750 0.750 0.750
Mo 0.500 0.500 0.500
CELL_PARAMETERS angstrom
0.000 3.338 3.338
3.338 0.000 3.338
3.338 3.338 0.000
```

=====

Most favorable structure: arrangement y. The second most favorable one is 0.050 eV/atom above it.